Entry 1:
A relaxed BaPtSO crystal. Source: OQMD via LeMat-Bulk, functional PBE.

Output
- Calculated total energy: -5.395 eV/atom

```
BaPtSO
1.0
-0.617 -0.402 -5.639
0.690 -6.988 0.423
-16.592 -1.522 1.925
Ba Pt S O
8 8 8 8
Cartesian
-5.172 -4.119 -0.575 Ba
-5.517 -0.625 -0.785 Ba
-13.475 -4.816 0.386 Ba
-13.130 -8.310 0.595 Ba
-3.045 -4.096 -3.677 Ba
-11.003 -8.287 -2.507 Ba
-11.348 -4.793 -2.717 Ba
-3.390 -0.602 -3.887 Ba
-8.087 -6.203 -1.539 Pt
0.209 -5.442 -2.502 Pt
-0.100 -5.643 -5.321 Pt
-8.124 -2.508 1.067 Pt
0.172 -1.747 0.105 Pt
-8.432 -2.709 -1.753 Pt
-0.136 -1.948 -2.715 Pt
-8.396 -6.404 -4.359 Pt
-16.123 -1.738 -2.413 S
-0.742 -3.680 -1.090 S
-9.038 -4.441 -0.128 S
-7.827 -0.977 -3.375 S
-9.383 -0.947 -0.339 S
-1.087 -0.186 -1.302 S
-7.482 -4.471 -3.164 S
-15.778 -5.232 -2.201 S
-4.242 -2.355 -2.197 O
-12.278 -6.557 -1.094 O
-12.544 -3.051 -1.239 O
-11.899 -6.349 1.717 O
-3.976 -5.861 -2.053 O
-3.596 -5.653 0.759 O
-4.621 -2.563 -5.009 O
-12.924 -3.259 -4.050 O
```

***

Entry 2:
A relaxed BaPtSO crystal. Source: OQMD via LeMat-Bulk, functional PBE.

Output
- Calculated total energy: -5.613 eV/atom

```
BaPtSO
1.0
5.344 0.000 0.000
0.000 8.862 0.000
0.000 0.000 7.706
S Ba O Pt
4 4 4 4
Cartesian
2.681 1.627 5.616 S
2.663 6.058 5.943 S
5.335 7.234 1.763 S
0.009 2.804 2.090 S
2.668 5.184 2.795 Ba
5.340 8.108 4.911 Ba
0.005 3.677 6.648 Ba
2.677 0.754 1.058 Ba
2.687 2.701 6.885 O
0.015 1.729 0.821 O
2.657 7.132 4.674 O
5.329 6.160 3.032 O
4.004 6.645 7.701 Pt
1.332 6.648 0.005 Pt
4.012 2.217 3.848 Pt
1.340 2.214 3.858 Pt
```

***

Entry 3:
A relaxed BaPtSO crystal. Source: OQMD via LeMat-Bulk, functional PBE.

Output
- Calculated total energy: -5.446 eV/atom

```
BaPtSO
1.0
-3.126 -1.985 -2.404
0.379 -3.621 2.496
-5.888 2.971 5.204
Ba Pt O S
2 2 2 2
Cartesian
-5.598 1.077 4.364 Ba
-3.037 -3.711 0.933 Ba
-5.610 -2.413 3.207 Pt
-3.025 -0.222 2.090 Pt
-7.195 -1.613 4.608 O
-1.440 -1.021 0.689 O
-5.193 -0.908 1.423 S
-3.441 -1.726 3.873 S
```

***

Entry 4:
A relaxed BaPtSO crystal. Source: OQMD via LeMat-Bulk, functional PBE.

Output
- Calculated total energy: -5.272 eV/atom

```
BaPtSO
1.0
-3.441 0.157 -5.653
-6.711 -4.241 3.967
-2.546 5.624 1.705
Pt O Ba S
4 4 4 4
Cartesian
-2.360 0.351 -2.271 Pt
-9.574 -0.497 1.779 Pt
-2.054 3.091 1.177 Pt
-9.881 -3.237 -1.670 Pt
-7.379 -3.162 2.268 O
-8.477 -0.358 3.408 O
-3.553 0.422 -3.837 O
-4.651 3.226 -2.697 O
-5.933 -0.014 3.565 Ba
-5.159 1.641 -0.737 Ba
-6.340 -2.749 -0.048 Ba
-5.565 -1.094 -4.349 Ba
-7.625 0.145 0.560 S
-3.621 1.510 2.037 S
-7.887 -2.597 -2.815 S
-3.883 -1.232 -1.338 S
```

***

Entry 5:
A relaxed BaPtSO crystal. Source: OQMD via LeMat-Bulk, functional PBE.

Output
- Calculated total energy: -5.036 eV/atom

```
BaPtSO
1.0
6.251 0.000 0.000
0.000 6.251 0.000
0.000 0.000 7.116
Pt O S Ba
2 2 2 2
Cartesian
4.688 4.688 1.547 Pt
1.563 1.563 5.569 Pt
4.688 4.688 3.367 O
1.563 1.563 3.749 O
4.688 4.688 6.411 S
1.563 1.563 0.704 S
4.688 1.563 0.000 Ba
1.563 4.688 0.000 Ba
```

***

Entry 6:
A relaxed BaPtSeO crystal. Source: OQMD via LeMat-Bulk, functional PBE.

Output
- Calculated total energy: -5.096 eV/atom

```
BaPtSeO
1.0
-4.903 -3.067 3.448
0.827 -7.219 -5.244
4.480 -2.499 4.147
Pt Ba Se O
4 4 4 4
Cartesian
0.983 -9.929 -0.588 Pt
-1.785 -2.184 1.823 Pt
-3.506 -10.086 -1.080 Pt
2.705 -2.026 2.314 Pt
2.684 -8.978 2.162 Ba
2.714 -6.308 -1.508 Ba
-0.088 -7.716 5.916 Ba
-0.057 -5.047 2.246 Ba
2.352 -3.705 0.466 Se
2.452 -6.294 4.045 Se
0.187 -7.738 0.374 Se
0.287 -10.326 3.954 Se
-0.660 -4.464 4.711 O
0.055 -7.758 -3.294 O
-3.079 -3.327 2.763 O
2.475 -8.895 -1.346 O
```

***

Entry 7:
A relaxed BaPtSeO crystal. Source: OQMD via LeMat-Bulk, functional PBE.

Output
- Calculated total energy: -4.213 eV/atom

```
BaPtSeO
1.0
-1.988 1.208 4.547
3.008 -3.468 2.237
5.652 5.546 0.997
Se Ba Pt O
2 2 2 2
Cartesian
1.874 1.024 1.982 Se
4.798 2.262 5.799 Se
-0.739 0.039 3.969 Ba
1.759 -2.299 2.815 Ba
2.103 -0.382 5.324 Pt
4.569 3.668 2.457 Pt
3.101 2.228 2.198 O
3.571 1.058 5.583 O
```

***

Entry 8:
A relaxed BaPtSeO crystal. Source: OQMD via LeMat-Bulk, functional PBE.

Output
- Calculated total energy: -5.366 eV/atom

```
BaPtSeO
1.0
-0.712 1.286 5.184
3.585 -7.640 2.388
7.325 3.482 0.142
O Ba Pt Se
4 4 4 4
Cartesian
4.696 -2.629 6.870 O
7.322 1.434 3.478 O
6.946 -3.433 4.578 O
1.432 -1.117 0.502 O
7.745 -0.075 1.095 Ba
1.013 0.386 2.857 Ba
7.209 -3.385 7.417 Ba
4.430 -2.670 4.058 Ba
9.835 -1.930 3.206 Pt
2.162 -4.772 5.658 Pt
4.377 0.153 1.986 Pt
4.023 0.805 4.576 Pt
7.679 -1.747 4.272 Se
5.566 1.929 3.102 Se
3.960 -4.309 7.197 Se
3.192 -1.617 0.856 Se
```

***

Entry 9:
A relaxed BaPtSeO crystal. Source: OQMD via LeMat-Bulk, functional PBE.

Output
- Calculated total energy: -5.244 eV/atom

```
BaPtSeO
1.0
-3.485 -0.052 2.196
-0.457 -4.011 -0.820
5.238 -2.286 8.260
O Pt Se Ba
2 2 2 2
Cartesian
1.073 -1.914 3.591 O
0.222 -4.434 6.044 O
-1.214 -3.021 -0.066 Pt
-2.728 -1.041 1.442 Pt
1.490 -4.987 8.043 Se
-0.194 -1.361 1.592 Se
2.392 -2.490 5.670 Ba
-1.096 -3.859 3.965 Ba
```

***

Entry 10:
A relaxed BaPtSeO crystal. Source: OQMD via LeMat-Bulk, functional PBE.

Output
- Calculated total energy: -4.915 eV/atom

```
BaPtSeO
1.0
-3.036 -1.035 -3.018
3.187 -0.770 -2.941
0.341 -8.763 2.663
O Ba Se Pt
2 2 2 2
Cartesian
1.802 -5.218 -1.629 O
-1.310 -5.351 -1.668 O
0.188 -3.274 -3.886 Ba
0.304 -7.294 0.589 Ba
0.404 -8.816 -2.203 Se
0.088 -1.752 -1.095 Se
0.306 -6.317 -2.962 Pt
0.186 -4.252 -0.335 Pt
```

***

Entry 11:
A relaxed BaPtSeO crystal. Source: OQMD via LeMat-Bulk, functional PBE.

Output
- Calculated total energy: -5.253 eV/atom

```
BaPtSeO
1.0
-5.288 -1.444 2.143
-2.103 -2.024 -6.552
5.498 -15.599 3.054
Ba Se O Pt
8 8 8 8
Cartesian
-3.055 -3.987 1.891 Ba
-0.707 -6.434 -2.033 Ba
2.218 -14.067 0.029 Ba
1.162 -15.080 -3.246 Ba
0.348 -5.421 1.242 Ba
-2.241 -13.646 -2.596 Ba
-1.186 -12.633 0.678 Ba
-4.111 -5.000 -1.383 Ba
1.178 -15.681 4.459 Se
0.726 -10.177 -1.022 Se
-3.071 -3.386 -5.813 Se
0.124 -16.693 1.184 Se
-2.619 -8.889 -0.332 Se
1.780 -9.165 2.253 Se
-2.017 -2.374 -2.538 Se
-3.673 -9.902 -3.607 Se
1.072 -12.780 1.963 O
-1.536 -13.603 3.054 O
-1.849 -5.147 -0.102 O
2.564 -13.097 -2.344 O
-2.965 -6.287 -3.317 O
-0.357 -5.464 -4.409 O
-0.044 -13.920 -1.252 O
-4.457 -5.969 0.990 O
2.330 -16.823 2.488 Pt
-0.420 -9.024 0.958 Pt
-4.223 -2.244 -3.842 Pt
-5.811 -1.953 0.504 Pt
-3.061 -9.751 2.034 Pt
-1.473 -10.042 -2.312 Pt
1.168 -9.316 -3.388 Pt
3.918 -17.114 -1.858 Pt
```

***

Entry 12:
A relaxed BaPtSeO crystal. Source: OQMD via LeMat-Bulk, functional PBE.

Output
- Calculated total energy: -5.334 eV/atom

```
BaPtSeO
1.0
7.408 0.000 0.000
0.000 8.218 0.000
0.000 0.000 5.842
Se O Ba Pt
4 4 4 4
Cartesian
4.908 4.042 1.095 Se
6.203 4.042 4.016 Se
1.205 4.176 1.095 Se
2.499 4.176 4.016 Se
3.195 1.026 3.058 O
0.509 1.026 0.137 O
4.213 7.193 0.137 O
6.898 7.193 3.058 O
3.152 1.333 0.137 Ba
4.256 6.885 3.058 Ba
6.855 6.885 0.137 Ba
0.552 1.333 3.058 Ba
4.543 2.563 3.012 Pt
0.840 5.656 3.012 Pt
2.864 5.656 0.091 Pt
6.568 2.563 0.091 Pt
```

***

Number 1: volume 21.0 A^3/atom. Number 2: volume 22.8 A^3/atom. Number 3: volume 20.5 A^3/atom. Number 4: volume 23.5 A^3/atom. Number 5: volume 34.8 A^3/atom. Number 6: volume 24.9 A^3/atom. Number 7: volume 26.0 A^3/atom. Number 8: volume 24.0 A^3/atom. Number 9: volume 21.3 A^3/atom. Number 10: volume 22.2 A^3/atom. Number 11: volume 22.2 A^3/atom. Number 12: volume 22.2 A^3/atom.